A plane-wave DFT calculation with PBE was carried out for a relaxed LuAgSn crystal.

a b c (Å): 3.1398 3.1398 8.3652
angles (deg): 100.82 100.82 90.00
Atoms (fractional coordinates):
Lu1 0.1270 0.1270 0.2540
Sn1 0.7739 0.7739 0.5477
Ag1 0.9492 0.9492 0.8983

## Properties
E (eV/atom): -3.65
Spin magnetization (μB/atom): 0.05
Energy of formation (eV/f.u.): 0.44

A plane-wave DFT calculation with PBE was carried out for a relaxed LuAgSn crystal.

a b c (Å): 7.3150 7.3150 4.4575
angles (deg): 90.00 90.00 120.00
Atoms (fractional coordinates):
Sn1 0.6667 0.3333 0.5000
Sn2 0.0000 0.0000 0.0000
Sn3 0.3333 0.6667 0.5000
Ag1 0.0000 0.7533 0.5000
Ag2 0.2467 0.2467 0.5000
Ag3 0.7533 0.0000 0.5000
Lu1 0.0000 0.4316 0.0000
Lu2 0.5684 0.5684 0.0000
Lu3 0.4316 0.0000 0.0000

## Properties
E (eV/atom): -4.30
Spin magnetization (μB/atom): 0.00
Energy of formation (eV/f.u.): -1.52

A plane-wave DFT calculation with PBE was carried out for a relaxed LuAg2Sn crystal.

a b c (Å): 3.7454 3.7454 6.3509
angles (deg): 90.00 90.00 90.00
Atoms (fractional coordinates):
Ag1 0.0000 0.0000 0.7623
Ag2 0.0000 0.0000 0.2377
Sn1 0.5000 0.5000 0.5000
Lu1 0.5000 0.5000 0.0000

## Properties
E (eV/atom): -3.80
Spin magnetization (μB/atom): 0.00
Energy of formation (eV/f.u.): -0.96

A plane-wave DFT calculation with PBE was carried out for a relaxed LuAg2Sn crystal.

a b c (Å): 4.9973 4.8992 4.9970
angles (deg): 59.17 90.00 120.66
Atoms (fractional coordinates):
Sn1 0.7500 0.5000 0.7500
Ag1 0.0000 0.0000 0.0002
Ag2 0.5000 0.0000 0.4998
Lu1 0.2500 0.5000 0.2500

## Properties
E (eV/atom): -3.86
Spin magnetization (μB/atom): 0.00
Energy of formation (eV/f.u.): -1.22

A plane-wave DFT calculation with PBE was carried out for a relaxed LuAgSn crystal.

a b c (Å): 4.6958 4.6958 7.2811
angles (deg): 90.00 90.00 120.00
Atoms (fractional coordinates):
Lu1 0.0000 0.0000 0.4769
Lu2 0.0000 0.0000 0.9769
Ag1 0.3333 0.6667 0.7954
Ag2 0.6667 0.3333 0.2954
Sn1 0.6667 0.3333 0.6986
Sn2 0.3333 0.6667 0.1986

## Properties
E (eV/atom): -4.31
Spin magnetization (μB/atom): 0.00
Energy of formation (eV/f.u.): -1.55

A plane-wave DFT calculation with PBE was carried out for a relaxed LuAg2Sn2 crystal.

a b c (Å): 4.2710 4.2710 7.1492
angles (deg): 108.05 108.05 89.86
Atoms (fractional coordinates):
Ag1 0.7493 0.2507 0.5000
Ag2 0.2507 0.7493 0.5000
Sn1 0.3947 0.3947 0.7838
Sn2 0.6054 0.6054 0.2162
Lu1 0.0000 0.0000 0.0000

## Properties
E (eV/atom): -3.81
Spin magnetization (μB/atom): 0.00
Energy of formation (eV/f.u.): -0.82

A plane-wave DFT calculation with PBE was carried out for a relaxed TbLuAgSn crystal.

a b c (Å): 5.1933 5.1933 5.1933
angles (deg): 60.00 60.00 60.00
Atoms (fractional coordinates):
Tb1 0.0000 0.0000 0.0000
Ag1 0.7500 0.7500 0.7500
Lu1 0.5000 0.5000 0.5000
Sn1 0.2500 0.2500 0.2500

## Properties
E (eV/atom): -4.48
Spin magnetization (μB/atom): 0.01
Energy of formation (eV/f.u.): -1.92

A plane-wave DFT calculation with PBE was carried out for a relaxed LuTiAgSn crystal.

a b c (Å): 4.9376 4.9376 4.9376
angles (deg): 60.00 60.00 60.00
Atoms (fractional coordinates):
Ag1 0.5000 0.5000 0.5000
Sn1 0.0000 0.0000 0.0000
Lu1 0.7500 0.7500 0.7500
Ti1 0.2500 0.2500 0.2500

## Properties
E (eV/atom): -5.06
Spin magnetization (μB/atom): 0.46
Energy of formation (eV/f.u.): -0.97

A plane-wave DFT calculation with PBE was carried out for a relaxed YLuAgSn crystal.

a b c (Å): 5.1866 5.1866 5.1866
angles (deg): 60.00 60.00 60.00
Atoms (fractional coordinates):
Y1 0.7500 0.7500 0.7500
Ag1 0.5000 0.5000 0.5000
Lu1 0.2500 0.2500 0.2500
Sn1 0.0000 0.0000 0.0000

## Properties
E (eV/atom): -4.95
Spin magnetization (μB/atom): 0.06
Energy of formation (eV/f.u.): -1.96

A plane-wave DFT calculation with PBE was carried out for a relaxed SrLu2Ag crystal.

a b c (Å): 3.6181 3.6181 9.4971
angles (deg): 90.00 90.00 90.00
Atoms (fractional coordinates):
Lu1 0.0000 0.0000 0.1802
Lu2 0.0000 0.0000 0.8198
Sr1 0.5000 0.5000 0.5000
Ag1 0.5000 0.5000 0.0000

## Properties
E (eV/atom): -3.41
Spin magnetization (μB/atom): 0.00
Energy of formation (eV/f.u.): -0.07

A plane-wave DFT calculation with PBE was carried out for a relaxed Lu2TaAg crystal.

a b c (Å): 3.0829 3.0829 11.2855
angles (deg): 82.15 82.15 60.00
Atoms (fractional coordinates):
Lu1 0.0891 0.0891 0.7328
Lu2 0.9109 0.9109 0.2672
Ta1 0.0000 0.0000 0.0000
Ag1 0.5000 0.5000 0.5000

## Properties
E (eV/atom): -5.44
Spin magnetization (μB/atom): 0.00
Energy of formation (eV/f.u.): 1.98

A plane-wave DFT calculation with PBE was carried out for a relaxed Lu2TaAg crystal.

a b c (Å): 3.2638 3.2638 8.3962
angles (deg): 90.00 90.00 90.00
Atoms (fractional coordinates):
Ta1 0.5000 0.5000 0.5000
Ag1 0.5000 0.5000 0.0000
Lu1 0.0000 0.0000 0.7550
Lu2 0.0000 0.0000 0.2450

## Properties
E (eV/atom): -5.93
Spin magnetization (μB/atom): 0.00
Energy of formation (eV/f.u.): 0.01